ZnCl3, optimized geometry, DFT GGA-PBE; crystal system = orthorhombic; M_tot = 0.00 μB per formula unit; raw total energy = -16.00 eV per cell; formation energy (no corrections) = -297 meV per atom
1.0
4.834 0.000 0.000
0.000 6.546 0.000
0.000 0.000 6.882
Cl Zn
6 2
direct
0.248 0.500 0.131
0.500 0.000 0.339
0.752 0.500 0.131
0.000 0.500 0.661
0.748 0.000 0.869
0.252 0.000 0.869
0.500 0.500 0.831
0.000 0.000 0.169


CsCNF2, optimized geometry, DFT GGA-PBE; crystal system = tetragonal; M_tot = 0.00 μB per formula unit; raw total energy = -23.28 eV per cell; formation energy (no corrections) = -228 meV per atom
1.0
5.094 0.000 0.000
0.000 5.094 0.000
0.000 0.000 2.668
Cs C F N
1 1 2 1
direct
0.500 0.500 0.500
0.000 0.000 0.000
0.000 0.500 0.000
0.500 0.000 0.000
0.000 0.000 0.500


CsCl12F6, optimized geometry, DFT GGA-PBE; crystal system = trigonal; M_tot = 0.97 μB per formula unit; raw total energy = -42.31 eV per cell; formation energy (no corrections) = -425 meV per atom
1.0
4.793 0.000 1.536
-3.276 9.525 4.725
-1.760 0.000 10.986
F Cl Cs
6 12 1
direct
0.481 0.232 0.749
0.230 0.749 0.019
0.249 0.019 0.232
0.751 0.981 0.768
0.770 0.251 0.981
0.519 0.768 0.251
0.219 0.396 0.140
0.359 0.140 0.464
0.566 0.054 0.626
0.192 0.626 0.320
0.434 0.946 0.374
0.823 0.464 0.396
0.488 0.680 0.946
0.641 0.860 0.536
0.177 0.536 0.604
0.512 0.320 0.054
0.808 0.374 0.680
0.781 0.604 0.860
0.000 0.000 0.000


ZnSe, optimized geometry, DFT GGA-PBE; crystal system = hexagonal; M_tot = 0.00 μB per formula unit; raw total energy = -24.72 eV per cell; formation energy (no corrections) = -710 meV per atom
1.0
-0.444 -2.883 -2.813
3.081 -0.189 2.626
-7.560 -6.998 8.366
Zn Se
4 4
direct
0.000 0.000 0.500
0.333 0.667 0.250
0.000 0.000 0.000
0.667 0.333 0.750
0.333 0.667 0.062
0.667 0.333 0.562
0.000 0.000 0.313
0.000 0.000 0.813


CeGa2Au, optimized geometry, DFT GGA-PBE; formation energy = -42.43 kJ per mole of atoms; crystal system = cubic; M_tot = 0.90 μB per formula unit; raw total energy = -17.02 eV per cell
1.0
4.866 0.000 0.000
2.433 4.214 0.000
2.433 1.405 3.973
Ce Ga Au
1 2 1
direct
0.000 0.000 0.000
0.250 0.250 0.250
0.750 0.750 0.750
0.500 0.500 0.500


Sm6Zn5Ru, optimized geometry, DFT GGA-PBE; formation energy = -31.53 kJ per mole of atoms; crystal system = monoclinic; M_tot = 0.00 μB per formula unit; raw total energy = -47.88 eV per cell
1.0
-1.287 0.490 -4.927
4.832 -5.106 -1.770
-6.007 -5.135 -1.586
Ru Sm Zn
1 6 5
direct
0.000 0.000 0.000
0.500 0.761 0.000
0.160 0.755 0.680
0.840 0.755 0.320
0.840 0.245 0.320
0.500 0.239 0.000
0.160 0.245 0.680
0.674 0.000 0.651
0.669 0.500 0.663
0.326 0.000 0.349
0.000 0.500 0.000
0.331 0.500 0.337


Zr2FeRe3, optimized geometry, DFT GGA-PBE; formation energy = -31.81 kJ per mole of atoms; crystal system = trigonal; M_tot = 2.74 μB per formula unit; raw total energy = -64.88 eV per cell
1.0
-0.464 5.210 -0.018
-4.168 -3.004 -0.984
0.758 -2.541 4.539
Re Zr Fe
3 2 1
direct
0.000 0.000 0.500
0.500 0.500 0.500
0.500 0.000 0.500
0.248 0.624 0.871
0.752 0.376 0.129
0.000 0.000 0.000


Th2PaTl, optimized geometry, DFT GGA-PBE; formation energy = 22.15 kJ per mole of atoms; crystal system = cubic; M_tot = 0.02 μB per formula unit; raw total energy = -25.78 eV per cell
1.0
-4.719 2.639 -0.865
-3.681 -2.049 -3.498
-4.695 -2.097 1.883
Th Tl Pa
2 1 1
direct
0.250 0.250 0.250
0.750 0.750 0.750
0.500 0.500 0.500
0.000 0.000 0.000


CsCeSiS4, optimized geometry, DFT GGA-PBE; crystal system = monoclinic; M_tot = 1.00 μB per formula unit; raw total energy = -77.20 eV per cell; formation energy (no corrections) = -1411 meV per atom
1.0
6.564 0.000 -0.146
0.000 6.743 0.000
-2.767 0.000 9.149
S Ce Cs Si
8 2 2 2
direct
0.002 0.499 0.703
0.404 0.750 0.192
0.401 0.750 0.558
0.596 0.250 0.808
0.998 0.999 0.297
0.002 0.001 0.703
0.998 0.501 0.297
0.599 0.250 0.442
0.768 0.750 0.454
0.232 0.250 0.546
0.725 0.750 0.935
0.275 0.250 0.065
0.789 0.250 0.668
0.211 0.750 0.332


ThTaSn2, optimized geometry, DFT GGA-PBE; formation energy = 5.55 kJ per mole of atoms; crystal system = trigonal; M_tot = 0.00 μB per formula unit; raw total energy = -27.05 eV per cell
1.0
3.340 0.000 0.000
1.670 2.893 0.000
1.670 0.964 10.071
Sn Th Ta
2 1 1
direct
0.741 0.741 0.778
0.259 0.259 0.222
0.500 0.500 0.500
0.000 0.000 0.000


BMo2Pt, optimized geometry, DFT GGA-PBE; formation energy = 73.32 kJ per mole of atoms; crystal system = tetragonal; M_tot = 0.00 μB per formula unit; raw total energy = -62.68 eV per cell
1.0
-1.845 -3.710 2.098
3.952 -0.633 2.356
-1.159 1.600 6.951
Mo Pt B
4 2 2
direct
0.375 0.470 0.750
0.220 0.625 0.250
0.875 0.780 0.750
0.530 0.125 0.250
0.000 0.000 0.000
0.750 0.250 0.500
0.500 0.500 0.000
0.250 0.750 0.500


Nd4Sn3Au, optimized geometry, DFT GGA-PBE; formation energy = -73.04 kJ per mole of atoms; crystal system = orthorhombic; M_tot = 0.00 μB per formula unit; raw total energy = -40.41 eV per cell
1.0
-3.634 -0.948 2.487
2.607 -0.535 3.604
-1.211 11.364 2.562
Sn Au Nd
3 1 4
direct
0.000 0.500 0.590
0.500 0.000 0.918
0.000 0.000 0.412
0.500 0.500 0.085
0.500 0.500 0.355
0.000 0.500 0.867
0.500 0.000 0.638
0.000 0.000 0.134


Tc7Hg, optimized geometry, DFT GGA-PBE; formation energy = 34.28 kJ per mole of atoms; crystal system = cubic; M_tot = 0.00 μB per formula unit; raw total energy = -70.02 eV per cell
1.0
0.000 3.927 3.927
3.927 0.000 3.927
3.927 3.927 0.000
Tc Hg
7 1
direct
0.000 0.500 0.500
0.500 0.500 0.000
0.000 0.500 0.000
0.500 0.000 0.000
0.500 0.500 0.500
0.000 0.000 0.500
0.500 0.000 0.500
0.000 0.000 0.000


NpCrSn, optimized geometry, DFT GGA-PBE; formation energy = 18.28 kJ per mole of atoms; crystal system = orthorhombic; M_tot = 1.90 μB per formula unit; raw total energy = -103.99 eV per cell
1.0
-4.858 -0.860 -1.840
1.292 -3.956 -1.563
-2.670 -4.485 9.143
Cr Sn Np
4 4 4
direct
0.373 0.447 0.215
0.873 0.553 0.785
0.873 0.447 0.285
0.373 0.553 0.715
0.566 0.052 0.839
0.066 0.052 0.661
0.566 0.948 0.339
0.066 0.948 0.161
0.068 0.553 0.452
0.568 0.447 0.548
0.568 0.553 0.048
0.068 0.447 0.952


HgSb4S8, optimized geometry, DFT GGA-PBE; crystal system = cubic; M_tot = 0.00 μB per formula unit; raw total energy = -51.30 eV per cell; formation energy (no corrections) = -115 meV per atom
1.0
-3.279 -6.246 -3.526
3.587 -7.019 0.278
-3.063 -5.825 4.346
Hg S Sb
1 8 4
direct
0.750 0.750 0.750
0.129 0.129 0.129
0.613 0.129 0.129
0.148 0.617 0.617
0.617 0.617 0.617
0.129 0.613 0.129
0.617 0.617 0.148
0.617 0.148 0.617
0.129 0.129 0.613
0.368 0.368 0.895
0.368 0.895 0.368
0.368 0.368 0.368
0.895 0.368 0.368


PmZnHgAu, optimized geometry, DFT GGA-PBE; formation energy = -44.50 kJ per mole of atoms; crystal system = cubic; M_tot = 0.00 μB per formula unit; raw total energy = -11.45 eV per cell
1.0
-2.667 -2.372 3.477
-3.654 -3.107 -1.352
0.543 -4.913 0.636
Hg Pm Au Zn
1 1 1 1
direct
0.750 0.750 0.750
0.500 0.500 0.500
0.250 0.250 0.250
0.000 0.000 0.000


FeAg2Mo, optimized geometry, DFT GGA-PBE; formation energy = 33.19 kJ per mole of atoms; crystal system = monoclinic; M_tot = 0.69 μB per formula unit; raw total energy = -23.62 eV per cell
1.0
2.925 0.000 0.000
0.000 2.890 0.086
0.000 2.676 7.593
Mo Ag Fe
1 2 1
direct
0.500 0.798 0.702
0.500 0.227 0.273
0.000 0.005 0.995
0.000 0.470 0.530


BeGaNiRu, optimized geometry, DFT GGA-PBE; formation energy = -34.95 kJ per mole of atoms; crystal system = orthorhombic; M_tot = 0.00 μB per formula unit; raw total energy = -23.26 eV per cell
1.0
-0.535 -2.960 -0.447
3.753 -0.605 -0.480
0.398 -0.668 3.948
Ni Be Ga Ru
1 1 1 1
direct
0.000 0.000 0.000
0.500 0.000 0.500
0.500 0.500 0.000
0.000 0.500 0.500


Th12BiOs6, optimized geometry, DFT GGA-PBE; formation energy = -19.34 kJ per mole of atoms; crystal system = cubic; M_tot = 0.00 μB per formula unit; raw total energy = -164.11 eV per cell
1.0
8.431 0.000 -2.981
-4.215 7.301 -2.981
0.000 0.000 8.942
Th Os Bi
12 6 1
direct
0.315 0.490 0.175
0.825 0.685 0.510
0.139 0.825 0.315
0.315 0.139 0.825
0.825 0.315 0.139
0.175 0.315 0.490
0.861 0.175 0.685
0.490 0.175 0.315
0.510 0.825 0.685
0.175 0.685 0.861
0.685 0.510 0.825
0.685 0.861 0.175
0.361 0.500 0.861
0.500 0.861 0.361
0.861 0.361 0.500
0.139 0.639 0.500
0.500 0.139 0.639
0.639 0.500 0.139
0.000 0.000 0.000


Rb3Tl3SnO8, optimized geometry, DFT GGA-PBE; crystal system = trigonal; M_tot = 0.00 μB per formula unit; raw total energy = -70.77 eV per cell; formation energy (no corrections) = -1140 meV per atom
1.0
6.872 0.000 0.000
-3.436 5.956 -0.018
0.000 -3.951 6.651
O Rb Tl Sn
8 3 3 1
direct
0.726 0.452 0.678
0.210 0.963 0.673
0.753 0.963 0.673
0.274 0.548 0.322
0.790 0.580 0.327
0.247 0.037 0.327
0.210 0.420 0.673
0.790 0.037 0.327
0.000 0.500 0.000
0.000 0.000 0.000
0.500 0.500 0.000
0.500 0.000 0.500
0.500 0.500 0.500
0.000 0.500 0.500
0.000 0.000 0.500


MgAl2Ag4, optimized geometry, DFT GGA-PBE; formation energy = -3.21 kJ per mole of atoms; crystal system = tetragonal; M_tot = 0.00 μB per formula unit; raw total energy = -20.72 eV per cell
1.0
5.241 0.171 -1.740
-2.563 4.448 -2.042
0.099 -0.171 5.521
Ag Al Mg
4 2 1
direct
0.000 0.500 0.000
0.500 0.000 0.000
0.500 0.500 0.500
0.000 0.000 0.500
0.500 0.500 0.000
0.500 0.000 0.500
0.000 0.000 0.000


Rb4TlAg3F12, optimized geometry, DFT GGA-PBE; crystal system = cubic; M_tot = 0.00 μB per formula unit; raw total energy = -76.93 eV per cell; formation energy (no corrections) = -1984 meV per atom
1.0
7.817 0.000 0.000
-2.606 7.370 0.000
-2.606 -3.685 6.383
F Tl Rb Ag
12 1 4 3
direct
0.250 0.750 0.500
0.500 0.750 0.250
0.000 0.242 0.242
0.000 0.758 0.758
0.242 0.000 0.242
0.242 0.242 0.000
0.758 0.758 0.000
0.750 0.500 0.250
0.758 0.000 0.758
0.250 0.500 0.750
0.500 0.250 0.750
0.750 0.250 0.500
0.000 0.000 0.000
0.500 0.000 0.000
0.000 0.000 0.500
0.500 0.500 0.500
0.000 0.500 0.000
0.500 0.000 0.500
0.000 0.500 0.500
0.500 0.500 0.000


LaEu2I, optimized geometry, DFT GGA-PBE; crystal system = tetragonal; M_tot = 14.94 μB per formula unit; raw total energy = -28.91 eV per cell; formation energy (no corrections) = -471 meV per atom
1.0
-0.251 -2.234 -3.119
3.189 -1.860 1.075
-5.764 -6.800 5.334
Eu I La
2 1 1
direct
0.000 0.000 0.225
0.000 0.000 0.775
0.500 0.500 0.000
0.500 0.500 0.500